Crystalline Cr3Cd3CoO8 at its relaxed geometry. Source: the Alexandria database, functional GGA+U. Values from VASP.

Values from the calculation:
**Space-group type**: C2/m, No. 12
**Mass density**: 6.320 Mg/m³
**Uncorrected energy**: -5.94 eV per atom

Structure (Quantum ESPRESSO input):
```
&SYSTEM
  ibrav = 0, nat = 15, ntyp = 4
/
ATOMIC_SPECIES
Co 58.93 Co.upf
Cd 112.41 Cd.upf
O 16.00 O.upf
Cr 52.00 Cr.upf
ATOMIC_POSITIONS crystal
Co 0.0000 0.0000 0.5000
Cd 0.5000 0.5000 0.0000
Cd 0.0000 0.5000 0.0000
Cd 0.0000 0.0000 0.0000
O 0.7779 0.0407 0.3082
O 0.2627 0.0407 0.3082
O 0.2458 0.4916 0.7136
O 0.7373 0.9593 0.6918
O 0.7280 0.4561 0.6926
O 0.7542 0.5084 0.2864
O 0.2720 0.5439 0.3074
O 0.2221 0.9593 0.6918
Cr 0.0000 0.5000 0.5000
Cr 0.5000 0.0000 0.5000
Cr 0.5000 0.5000 0.5000
CELL_PARAMETERS angstrom
-2.8622 -4.6204 2.7168
3.0304 -0.9811 -5.2709
3.5259 0.9657 5.3571
```